1.
The following is a DFT calculation (PBE) of an optimized crystal structure of Cd3FePd.

Cell: 5.1115 5.1115 5.1115 Å, 90.00 90.00 90.00°
Space group Pm-3m (No. 221)
One atom of each set of equivalent atoms:
Cd 0.0000 0.0000 0.5000 (multiplicity 3)
Fe 0.5000 0.5000 0.5000 (multiplicity 1)
Pd 0.0000 0.0000 0.0000 (multiplicity 1)

Summary:
**Energy of formation from the pure elements**: 0.688 eV per atom
**Relative energy among the computed polymorphs**: 0 meV/atom

2.
The following is a DFT calculation (PBE) of an optimized crystal structure of Cd3FePd12.

Cell: 4.0027 4.0027 15.9376 Å, 90.00 90.00 90.00°
Space group P4/mmm (No. 123)
One atom of each set of equivalent atoms:
Cd 0.0000 0.0000 0.0000 (multiplicity 1)
Cd 0.0000 0.0000 0.2549 (multiplicity 2)
Fe 0.0000 0.0000 0.5000 (multiplicity 1)
Pd 0.0000 0.5000 0.1278 (multiplicity 4)
Pd 0.0000 0.5000 0.3845 (multiplicity 4)
Pd 0.5000 0.5000 0.0000 (multiplicity 1)
Pd 0.5000 0.5000 0.2566 (multiplicity 2)
Pd 0.5000 0.5000 0.5000 (multiplicity 1)

Summary:
**Energy of formation from the pure elements**: -0.198 eV per atom

3.
The following is a DFT calculation (PBE) of an optimized crystal structure of Cd2FePd6.

Cell: 14.2112 7.6630 2.8176 Å, 90.00 101.40 90.00°
Space group C2/m (No. 12)
One atom of each set of equivalent atoms:
Cd 0.1630 0.0000 0.1678 (multiplicity 4)
Fe 0.0000 0.5000 0.5000 (multiplicity 2)
Pd 0.0000 0.2102 0.0000 (multiplicity 4)
Pd 0.1640 0.3184 0.6659 (multiplicity 8)

Summary:
**Energy of formation from the pure elements**: -0.103 eV per atom

4.
The following is a DFT calculation (PBE) of an optimized crystal structure of CdFePd3.

Cell: 4.6337 4.6337 4.6337 Å, 90.00 90.00 90.00°
Space group Pm-3m (No. 221)
One atom of each set of equivalent atoms:
Cd 0.0000 0.0000 0.0000 (multiplicity 1)
Fe 0.5000 0.5000 0.5000 (multiplicity 1)
Pd 0.0000 0.5000 0.5000 (multiplicity 3)

Summary:
**Energy of formation from the pure elements**: 0.498 eV per atom
**Relative energy among the computed polymorphs**: 0 meV/atom